Computed, not measured: a relaxed structure of KAgPb at the PBE level of DFT.

Unit cell a=4.9750 b=6.4384 c=6.7022 alpha=97.23 beta=111.79 gamma=90.03
Closest atoms and distances in Å follow each position.
Fractional coordinates of all 6 atoms:
K 0.1234 0.3527 0.2450  2 Ag 3.25-3.50
K 0.8766 0.6473 0.7550  2 Ag 3.25-3.50
Ag 0.2043 0.8952 0.4091  3 Pb 2.90-2.95, 2 Ag 2.98, 1 K 3.25
Ag 0.7957 0.1048 0.5909  3 Pb 2.90-2.95, 2 Ag 2.98, 1 K 3.25
Pb 0.4166 0.1660 0.8317  3 Ag 2.90-2.95, 1 Pb 3.19
Pb 0.5834 0.8340 0.1683  3 Ag 2.90-2.95, 1 Pb 3.19

Calculated values
Density ... 5.955 g/cm3
Calculated volume ... 32.917 A^3/atom
E ... -2.633 eV/atom
Space group ... P-1
ΔH_f (0 K) ... -0.08 eV per atom

=====

Computed, not measured: a relaxed structure of KAgPb2 at the PBE level of DFT.

Unit cell a=5.6416 b=5.6416 c=6.7450 alpha=100.80 beta=100.80 gamma=38.06
Closest atoms and distances in Å follow each position.
Fractional coordinates of all 4 atoms:
K 0.0000 0.0000 0.0000  5 Pb 3.49-3.67, 3 Ag 3.68-3.81, 2 K 3.68
Ag 0.2461 0.2461 0.6596  5 Pb 3.08-3.11
Pb 0.5121 0.5121 0.5359  3 Ag 3.08-3.11, 3 Pb 3.31-3.42
Pb 0.7696 0.7696 0.3029  2 Ag 3.08, 3 Pb 3.31-3.42

Calculated values
Density ... 7.186 g/cm3
Calculated volume ... 32.432 A^3/atom
E ... -2.787 eV/atom
Space group ... Cm
ΔH_f (0 K) ... 0.05 eV per atom

=====

Computed, not measured: a relaxed structure of KAgPb2 at the PBE level of DFT.

Unit cell a=6.6868 b=6.6868 c=3.2877 alpha=101.63 beta=101.63 gamma=117.84
Closest atoms and distances in Å follow each position.
Fractional coordinates of all 4 atoms:
K 0.0000 0.0000 0.0000  2 K 3.29, 4 Pb 3.42, 2 Ag 3.45
Ag 0.5000 0.5000 0.0000  2 Ag 3.29, 4 Pb 3.42, 2 K 3.45
Pb 0.0000 0.5000 0.5000  4 Pb 3.29-3.45, 2 Ag 3.42, 2 K 3.42
Pb 0.5000 0.0000 0.5000  4 Pb 3.29-3.45, 2 Ag 3.42, 2 K 3.42

Calculated values
Density ... 7.790 g/cm3
Calculated volume ... 29.917 A^3/atom
E ... -2.712 eV/atom
Space group ... C2/m
ΔH_f (0 K) ... 0.13 eV per atom

=====

Computed, not measured: a relaxed structure of KAgPb3 at the PBE level of DFT.

Unit cell a=5.9832 b=5.9832 c=5.9832 alpha=90.00 beta=90.00 gamma=90.00
Closest atoms and distances in Å follow each position.
Fractional coordinates of all 5 atoms:
K 0.0000 0.0000 0.0000  6 Pb 2.99
Ag 0.5000 0.5000 0.5000  12 Pb 4.23
Pb 0.0000 0.0000 0.5000  2 K 2.99
Pb 0.0000 0.5000 0.0000  2 K 2.99
Pb 0.5000 0.0000 0.0000  2 K 2.99

Calculated values
Density ... 5.958 g/cm3
Calculated volume ... 42.838 A^3/atom
E ... -1.915 eV/atom
Space group ... Pm-3m
ΔH_f (0 K) ... 1.10 eV per atom

=====

Computed, not measured: a relaxed structure of KAg2Pb at the PBE level of DFT.

Unit cell a=3.3714 b=4.9327 c=6.7542 alpha=90.00 beta=103.79 gamma=90.00
Closest atoms and distances in Å follow each position.
Fractional coordinates of all 4 atoms:
K 0.0000 0.0000 0.0000  7 Ag 3.36-3.62, 2 K 3.37
Ag 0.2633 0.0000 0.5125  2 Ag 2.91, 4 Pb 3.14-3.16
Ag 0.3759 0.5000 0.7468  2 Ag 2.91, 2 Pb 3.04-3.06
Pb 0.6849 0.5000 0.3590  6 Ag 3.04-3.16, 2 Pb 3.37

Calculated values
Density ... 7.033 g/cm3
Calculated volume ... 27.271 A^3/atom
E ... -2.532 eV/atom
Space group ... Pm
ΔH_f (0 K) ... 0.10 eV per atom

=====

Computed, not measured: a relaxed structure of KAgPb2 at the PBE level of DFT.

Unit cell a=4.0334 b=4.0334 c=7.8926 alpha=90.00 beta=90.00 gamma=90.00
Closest atoms and distances in Å follow each position.
Fractional coordinates of all 4 atoms:
K 0.0000 0.0000 0.0000  5 Pb 3.65-3.75, 4 Ag 3.73, 4 K 4.03
Ag 0.5000 0.5000 0.6957  5 Pb 3.06-3.11
Pb 0.0000 0.0000 0.5382  4 Ag 3.11, 4 Pb 3.38
Pb 0.5000 0.5000 0.3084  1 Ag 3.06, 4 Pb 3.38

Calculated values
Density ... 7.260 g/cm3
Calculated volume ... 32.100 A^3/atom
E ... -2.799 eV/atom
Space group ... P4mm
ΔH_f (0 K) ... 0.04 eV per atom

=====

> Number 2 is which compound?

KAgPb2